First-principles (PBE) data for an optimized crystal structure of SrCd2GePt, as listed in OQMD via LeMat-Bulk.

Summary:
mass density: 8.1 g cm⁻³
space-group type: I4mm
total magnetization: 0.00 μB per cell
energy: -16.69 eV/cell

Cell lengths 6.653, 6.653, 6.653 Å; angles 140.44, 140.44, 57.18 degrees
Positions (direct):
Cd: 0.749 0.249 0.500
Cd: 0.249 0.749 0.500
Ge: 0.396 0.396 0.000
Pt: 0.603 0.603 0.000
Sr: 0.003 0.003 0.000

---

First-principles (PBE) data for an optimized crystal structure of RbCd2Ge2, as listed in OQMD via LeMat-Bulk.

Summary:
mass density: 5.8 g cm⁻³
space-group type: I4/mmm
energy: -12.37 eV/cell

Cell lengths 6.684, 6.684, 6.684 Å; angles 138.49, 138.49, 60.15 degrees
Positions (direct):
Cd: 0.750 0.250 0.500
Cd: 0.250 0.750 0.500
Ge: 0.389 0.389 0.000
Ge: 0.611 0.611 0.000
Rb: 0.000 0.000 0.000

---

- Which of these has the highest energy?
  RbCd2Ge2

---

- Among the records above, which one has the lowest mass density?
  RbCd2Ge2

---

- Which value of energy does entry 1 give?
  -16.69 eV/cell